Below is Na2V2SiO6 after structural relaxation, with properties calculated at the GGA+U level. Values from VASP.

```
&SYSTEM
  ibrav = 0, nat = 11, ntyp = 4
/
ATOMIC_SPECIES
V 50.94 V.upf
Si 28.09 Si.upf
Na 22.99 Na.upf
O 16.00 O.upf
CELL_PARAMETERS angstrom
4.883 0.163 0.103
-2.272 4.326 0.103
-0.870 -1.495 5.475
ATOMIC_POSITIONS crystal
V 0.641 0.359 0.500
V 0.359 0.641 0.500
Si 0.000 0.000 0.500
Na 0.181 0.819 0.000
Na 0.819 0.181 0.000
O 0.053 0.365 0.677
O 0.947 0.635 0.323
O 0.778 0.778 0.703
O 0.365 0.053 0.677
O 0.635 0.947 0.323
O 0.222 0.222 0.297
```

Properties
uncorrected energy: -6.738 eV/atom
SG: C2/m
total moment: 0.0 μB per formula unit